Mg2CoRu | PBE | optimized geometry

ΔE_f: 4.7 kcal/mol of atoms
ρ: 5774 kg/m3
symmetry: Cmmm, No. 65

```
Mg2CoRu
1.0
1.593 -2.220 0.000
1.593 2.220 0.000
0.000 0.000 8.486
Mg Co Ru
2 1 1
direct
0.000 0.000 0.243 Mg
0.000 0.000 0.757 Mg
0.500 0.500 0.000 Co
0.500 0.500 0.500 Ru
```

=====

Mg2CoRu | PBE | optimized geometry

ΔE_f: 3.5 kcal/mol of atoms
ρ: 5470 kg/m3
symmetry: Pm, No. 6

```
Mg2CoRu
1.0
2.911 0.000 0.000
0.000 4.235 0.000
-1.094 0.000 5.137
Mg Co Ru
2 1 1
direct
0.000 0.000 0.000 Mg
0.269 0.500 0.678 Mg
0.613 0.000 0.447 Co
0.636 0.500 0.224 Ru
```

=====

Mg2CoRu | PBE | optimized geometry

ΔE_f: 2.5 kcal/mol of atoms
ρ: 5816 kg/m3
symmetry: F-43m, No. 216

```
Mg2CoRu
1.0
0.000 3.100 3.100
3.100 0.000 3.100
3.100 3.100 0.000
Mg Co Ru
2 1 1
direct
0.000 0.000 0.000 Mg
0.250 0.250 0.250 Mg
0.500 0.500 0.500 Co
0.750 0.750 0.750 Ru
```

=====

Mg2CoRu | PBE | optimized geometry

ΔE_f: 1.9 kcal/mol of atoms
ρ: 5723 kg/m3
symmetry: Cm, No. 8

```
Mg2CoRu
1.0
5.002 -1.386 0.000
5.002 1.386 0.000
-1.807 0.000 4.365
Mg Co Ru
2 1 1
direct
0.000 0.000 0.000 Mg
0.212 0.212 0.624 Mg
0.462 0.462 0.491 Co
0.762 0.762 0.156 Ru
```

=====

Mg2CoRu | PBE | optimized geometry

ΔE_f: 4.7 kcal/mol of atoms
ρ: 5748 kg/m3
symmetry: Cmmm, No. 65

```
Mg2CoRu
1.0
2.755 -4.020 0.000
2.755 4.020 0.000
0.000 0.000 2.721
Mg Co Ru
2 1 1
direct
0.000 0.500 0.000 Mg
0.500 0.000 0.000 Mg
0.000 0.000 0.500 Co
0.500 0.500 0.500 Ru
```

=====

Mg2CoRu | PBE | optimized geometry

ΔE_f: 4.8 kcal/mol of atoms
ρ: 5833 kg/m3
symmetry: Fm-3m, No. 225

```
Mg2CoRu
1.0
0.000 3.097 3.097
3.097 0.000 3.097
3.097 3.097 0.000
Mg Co Ru
2 1 1
direct
0.250 0.250 0.250 Mg
0.750 0.750 0.750 Mg
0.000 0.000 0.000 Co
0.500 0.500 0.500 Ru
```